[1]
DFT (GGA-PBE) results for crystalline AsPb5 at its relaxed geometry.

The total energy comes out at -3.4705 eV/atom. The crystal system is hexagonal. As for the energy above the lowest structure with this stoichiometry: 337 meV/atom.

Cell lengths 6.2721, 6.2721, 5.8798 Å; angles 90.00, 90.00, 120.00 degrees
Atoms (fractional coordinates):
As1 0.0000 0.0000 0.0000
Pb1 0.3333 0.6667 0.0000
Pb2 0.6667 0.3333 0.0000
Pb3 0.5000 0.0000 0.5000
Pb4 0.0000 0.5000 0.5000
Pb5 0.5000 0.5000 0.5000

=====

[2]
DFT (GGA-PBE) results for crystalline Ca2TiCu at its relaxed geometry.

The total energy comes out at -3.4350 eV/atom. The crystal system is tetragonal. As for the energy above the lowest structure with this stoichiometry: 66 meV/atom.

Cell lengths 8.3338, 8.3338, 6.6343 Å; angles 51.09, 51.09, 90.00 degrees
Atoms (fractional coordinates):
Ca1 0.6773 0.1250 0.2500
Ca2 0.0727 0.6250 0.2500
Ca3 0.3750 0.3227 0.7500
Ca4 0.8750 0.9273 0.7500
Cu1 0.0000 0.0000 0.0000
Cu2 0.7500 0.2500 0.5000
Ti1 0.5000 0.5000 0.0000
Ti2 0.2500 0.7500 0.5000

=====

[3]
DFT (GGA-PBE) results for crystalline Cu2ReAs at its relaxed geometry.

The total energy comes out at -5.7746 eV/atom. The crystal system is tetragonal.

Cell lengths 6.9670, 6.9670, 5.4943 Å; angles 50.65, 50.65, 90.00 degrees
Atoms (fractional coordinates):
Re1 0.0000 0.0000 0.0000
Re2 0.7500 0.2500 0.5000
As1 0.5000 0.5000 0.0000
As2 0.2500 0.7500 0.5000
Cu1 0.6103 0.1250 0.2500
Cu2 0.1397 0.6250 0.2500
Cu3 0.3750 0.3897 0.7500
Cu4 0.8750 0.8603 0.7500

=====

For reference, calculated volume by record: 33.386; 26.457; 14.761 A^3/atom.
For reference, energy of formation by record: 0.395; 0.564; 0.548 eV per atom.